Material: Pu2MnP
Method: DFT, PBE
State: relaxed

a = 4.356 Å, b = 4.356 Å, c = 3.952 Å
α = 90.00°, β = 90.00°, γ = 90.00°
Space group P4/mmm (No. 123)
Inequivalent atoms, fractional coordinates:
Pu (0.000, 0.500, 0.000) x2
Mn (0.000, 0.000, 0.500) x1
P (0.500, 0.500, 0.500) x1

Values from the calculation:
Relative energy among the computed polymorphs ... 0.15 eV/f.u.
VASP energy ... -11.249 eV per atom